(1)
Na4ThS4 | PBE | optimized geometry

The structure in extended XYZ format:
```
9
Lattice="4.073 0.000 0.963 1.744 6.768 1.718 0.059 -0.012 8.850" Properties=species:S:1:pos:R:3 pbc="T T T"
S 1.437 0.939 3.019
S 1.597 4.958 2.340
S 4.440 5.817 8.512
S 4.279 1.798 9.191
Na 2.277 3.984 8.565
Na 0.800 0.762 5.715
Na 5.077 5.994 5.816
Na 3.600 2.771 2.967
Th 2.037 0.000 0.481
```

Crystal system: monoclinic
Formation energy without anion corrections in meV/atom: -1430.9

(2)
Tb5Ho2Er3 | PBE | optimized geometry

The structure in extended XYZ format:
```
20
Lattice="6.692 0.000 0.000 3.346 10.313 0.963 3.346 3.666 9.688" Properties=species:S:1:pos:R:3 pbc="T T T"
Er 1.673 0.000 0.000
Er 5.019 0.000 0.000
Er 6.692 5.989 1.717
Er 6.692 7.990 8.934
Er 10.038 10.734 5.332
Er 3.346 3.244 5.319
Tb 1.673 2.553 1.945
Tb 6.692 10.085 6.203
Tb 3.346 5.322 2.573
Tb 6.692 3.893 4.448
Tb 5.019 2.553 1.945
Tb 10.038 8.657 8.078
Tb 5.019 6.989 5.326
Tb 11.711 11.426 8.706
Tb 8.365 11.426 8.706
Tb 8.365 6.989 5.326
Ho 10.038 5.568 7.888
Ho 6.692 4.896 7.376
Ho 6.692 9.083 3.275
Ho 3.346 8.411 2.763
```

E above lowest polymorph in meV per atom: 68.5
Crystal system: orthorhombic

(3)
SnGeAsHIr | PBE | optimized geometry

The structure in extended XYZ format:
```
5
Lattice="5.346 0.000 0.000 0.000 3.363 0.000 -0.777 0.000 5.741" Properties=species:S:1:pos:R:3 pbc="T T T"
Ir 3.814 0.000 1.247
Ge 2.013 1.682 1.707
H 2.292 0.000 5.552
Sn -0.345 1.682 3.162
As 5.321 1.682 0.156
```

E above lowest polymorph in meV per atom: 63.1
Crystal system: monoclinic

(4)
ZrTaAu | PBE | optimized geometry

The structure in extended XYZ format:
```
3
Lattice="3.204 0.000 0.000 -1.602 2.775 0.000 0.000 0.000 6.848" Properties=species:S:1:pos:R:3 pbc="T T T"
Au 0.000 0.000 0.052
Ta 1.602 0.925 2.243
Zr 0.000 1.850 4.553
```

E above lowest polymorph in meV per atom: 319.6
Crystal system: trigonal

Copy entry 2 word for word.
Tb5Ho2Er3 | PBE | optimized geometry

The structure in extended XYZ format:
```
20
Lattice="6.692 0.000 0.000 3.346 10.313 0.963 3.346 3.666 9.688" Properties=species:S:1:pos:R:3 pbc="T T T"
Er 1.673 0.000 0.000
Er 5.019 0.000 0.000
Er 6.692 5.989 1.717
Er 6.692 7.990 8.934
Er 10.038 10.734 5.332
Er 3.346 3.244 5.319
Tb 1.673 2.553 1.945
Tb 6.692 10.085 6.203
Tb 3.346 5.322 2.573
Tb 6.692 3.893 4.448
Tb 5.019 2.553 1.945
Tb 10.038 8.657 8.078
Tb 5.019 6.989 5.326
Tb 11.711 11.426 8.706
Tb 8.365 11.426 8.706
Tb 8.365 6.989 5.326
Ho 10.038 5.568 7.888
Ho 6.692 4.896 7.376
Ho 6.692 9.083 3.275
Ho 3.346 8.411 2.763
```

E above lowest polymorph in meV per atom: 68.5
Crystal system: orthorhombic